# PmAgPt

An optimized crystal structure of PmAgPt (GGA-PBE, Alexandria).

Cell and atoms, written as CIF:
```
data_PmAgPt
_cell_length_a 6.702
_cell_length_b 6.702
_cell_length_c 6.702
_cell_angle_alpha 90.00
_cell_angle_beta 90.00
_cell_angle_gamma 90.00
_space_group_name_H-M_alt 'F -4 3 m'
_space_group_IT_number 216
_space_group_name_Hall 'F -4 2 3'
loop_
_atom_site_label
_atom_site_fract_x
_atom_site_fract_y
_atom_site_fract_z
Pm1 0.000 0.000 0.000
Ag1 0.000 0.000 0.500
Pt1 0.250 0.250 0.750
```

- Density: 9.88 Mg/m³
- Calculated volume: 301.1 Å³/cell
- E above lowest polymorph: 0.146 eV/atom
- ΔH_f (0 K): -0.628 eV per atom